Entry 1:
VASP calculation (GGA-PBE) on Tb3BeN after structural relaxation.

Output
Formation energy without anion corrections = -0.527 eV per atom
Total magnetic moment = 0.00 μB/cell
E = -28.58 eV per cell

Cell: 4.7647 4.7647 4.7647 Å, 90.00 90.00 90.00°
Last column: nearest neighbours and their distance in Å.
Space group Pm-3m (No. 221)
Inequivalent atoms, fractional coordinates:
Tb  0.0000  0.0000  0.5000  2 N 2.38
Be  0.5000  0.5000  0.5000  12 Tb 3.37
N  0.0000  0.0000  0.0000  6 Tb 2.38

---

Entry 2:
VASP calculation (GGA-PBE) on TbBeN after structural relaxation.

Output
Formation energy without anion corrections = -1.105 eV per atom
Total magnetic moment = 0.00 μB/cell
E = -40.00 eV per cell

Cell: 3.4821 3.5847 6.8489 Å, 90.00 104.61 90.00°
Last column: nearest neighbours and their distance in Å.
Space group P2_1/m (No. 11)
Inequivalent atoms, fractional coordinates:
Tb  0.1570  0.2500  0.3132  5 N 2.33-2.50
Be  0.4511  0.2500  0.9041  1 N 1.58
N  0.3320  0.2500  0.6650  1 Be 1.58

---

Entry 3:
VASP calculation (GGA-PBE) on TbBeN2 after structural relaxation.

Output
Formation energy without anion corrections = -0.710 eV per atom
Total magnetic moment = 2.81 μB/cell
E = -83.54 eV per cell

Cell: 3.6182 3.6182 16.1356 Å, 90.00 90.00 120.00°
Last column: nearest neighbours and their distance in Å.
Space group R-3m (No. 166, hexagonal axes)
Inequivalent atoms, fractional coordinates:
Tb  0.0000  0.0000  0.0000  6 N 2.39
Be  0.0000  0.0000  0.5000  2 N 1.53
N  0.0000  0.0000  0.4053  1 Be 1.53

---

Entry 4:
VASP calculation (GGA-PBE) on TbTiBeN3 after structural relaxation.

Output
Formation energy without anion corrections = -1.386 eV per atom
Total magnetic moment = 0.00 μB/cell
E = -99.08 eV per cell

Cell: 6.5358 3.0936 6.7090 Å, 90.00 104.66 90.00°
Last column: nearest neighbours and their distance in Å.
Space group P2_1/m (No. 11)
Inequivalent atoms, fractional coordinates:
Tb  0.1960  0.2500  0.2289  7 N 2.37-2.55
Ti  0.3349  0.7500  0.8441  6 N 2.06-2.15
Be  0.0902  0.2500  0.5983  4 N 1.70-1.78
N  0.1236  0.2500  0.8581  1 Be 1.70
N  0.1814  0.7500  0.5211  3 Be 1.75-1.78
N  0.4437  0.7500  0.1599  3 Ti 2.06-2.12